Crystalline LiYPb2 at its relaxed geometry. Source: Alexandria, functional PBE.

Values from the calculation:
uncorrected energy	-4.322	eV/atom

The structure in CIF format:
```
data_LiYPb2
_cell_length_a 7.3542
_cell_length_b 8.0294
_cell_length_c 3.5991
_cell_angle_alpha 90.00
_cell_angle_beta 90.00
_cell_angle_gamma 90.00
_space_group_name_H-M_alt 'C m m m'
_space_group_IT_number 65
_space_group_name_Hall '-C 2 2'
loop_
_atom_site_label
_atom_site_type_symbol
_atom_site_fract_x
_atom_site_fract_y
_atom_site_fract_z
Li1 Li 0.0000 0.0000 0.0000
Y1 Y 0.0000 0.5000 0.0000
Pb1 Pb 0.2500 0.2500 0.5000
```

Crystalline LiYPb4 at its relaxed geometry. Source: Alexandria, functional PBE.

Values from the calculation:
uncorrected energy	-3.878	eV/atom

The structure in CIF format:
```
data_LiYPb4
_cell_length_a 9.1026
_cell_length_b 9.1026
_cell_length_c 9.1026
_cell_angle_alpha 90.00
_cell_angle_beta 90.00
_cell_angle_gamma 90.00
_space_group_name_H-M_alt 'F -4 3 m'
_space_group_IT_number 216
_space_group_name_Hall 'F -4 2 3'
loop_
_atom_site_label
_atom_site_type_symbol
_atom_site_fract_x
_atom_site_fract_y
_atom_site_fract_z
Li1 Li 0.0000 0.0000 0.0000
Y1 Y 0.2500 0.2500 0.2500
Pb1 Pb 0.1236 0.1236 0.6236
```